[1]
! PBE-GGA PdPbOF2, optimized geometry; values from VASP
! **DOS at the Fermi energy**: 4.83 states/eV/f.u.
! **Calculated volume**: 88.1 Å³/f.u.
! **Electronic total energy**: -21.5 eV per cell
&SYSTEM
  ibrav = 0, nat = 5, ntyp = 4
/
ATOMIC_SPECIES
Pd 106.42 Pd.upf
Pb 207.20 Pb.upf
O 16.00 O.upf
F 19.00 F.upf
CELL_PARAMETERS angstrom
4.551 0.000 0.000
0.000 4.551 0.000
0.000 0.000 4.256
ATOMIC_POSITIONS crystal
Pd 0.000 0.000 0.000
Pb 0.500 0.500 0.500
O 0.500 0.500 0.000
F 0.000 0.500 0.500
F 0.500 0.000 0.500

---

[2]
! PBE-GGA PtPb2O4F, optimized geometry; values from VASP
! **DOS at the Fermi energy**: 4.06 states/eV/f.u.
! **Calculated volume**: 130.3 Å³/f.u.
! **Electronic total energy**: -43.2 eV per cell
&SYSTEM
  ibrav = 0, nat = 8, ntyp = 4
/
ATOMIC_SPECIES
Pt 195.08 Pt.upf
Pb 207.20 Pb.upf
O 16.00 O.upf
F 19.00 F.upf
CELL_PARAMETERS angstrom
4.673 -1.644 0.000
4.673 1.644 0.000
-4.545 0.000 8.483
ATOMIC_POSITIONS crystal
Pt 0.000 0.000 0.000
Pb 0.404 0.404 0.263
Pb 0.596 0.596 0.737
O 0.065 0.065 0.230
O 0.356 0.356 0.974
O 0.644 0.644 0.026
O 0.935 0.935 0.770
F 0.000 0.000 0.500

---

[3]
! PBE-GGA PtPbO2F, optimized geometry; values from VASP
! **DOS at the Fermi energy**: 3.85 states/eV/f.u.
! **Calculated volume**: 81.7 Å³/f.u.
! **Electronic total energy**: -21.5 eV per cell
&SYSTEM
  ibrav = 0, nat = 5, ntyp = 4
/
ATOMIC_SPECIES
Pt 195.08 Pt.upf
Pb 207.20 Pb.upf
O 16.00 O.upf
F 19.00 F.upf
CELL_PARAMETERS angstrom
4.325 0.000 0.000
0.000 4.325 0.000
0.000 0.000 4.367
ATOMIC_POSITIONS crystal
Pt 0.000 0.000 0.000
Pb 0.500 0.500 0.500
O 0.000 0.500 0.500
O 0.500 0.000 0.500
F 0.500 0.500 0.000

---

[4]
! PBE-GGA PtPbO2F, optimized geometry; values from VASP
! **DOS at the Fermi energy**: 3.42 states/eV/f.u.
! **Calculated volume**: 72.9 Å³/f.u.
! **Electronic total energy**: -25.0 eV per cell
&SYSTEM
  ibrav = 0, nat = 5, ntyp = 4
/
ATOMIC_SPECIES
Pt 195.08 Pt.upf
Pb 207.20 Pb.upf
O 16.00 O.upf
F 19.00 F.upf
CELL_PARAMETERS angstrom
4.083 0.000 0.000
0.000 4.083 0.000
0.000 0.000 4.375
ATOMIC_POSITIONS crystal
Pt 0.000 0.000 0.000
Pb 0.500 0.500 0.500
O 0.000 0.500 0.000
O 0.500 0.000 0.000
F 0.000 0.000 0.500

---

[5]
! PBE-GGA PuPb3O6F2, optimized geometry; values from VASP
! **DOS at the Fermi energy**: 2.53 states/eV/f.u.
! **Calculated volume**: 218.4 Å³/f.u.
! **Electronic total energy**: -79.9 eV per cell
&SYSTEM
  ibrav = 0, nat = 12, ntyp = 4
/
ATOMIC_SPECIES
Pu 244.00 Pu.upf
Pb 207.20 Pb.upf
O 16.00 O.upf
F 19.00 F.upf
CELL_PARAMETERS angstrom
6.301 -3.479 0.000
6.301 3.479 0.000
-0.215 0.000 4.981
ATOMIC_POSITIONS crystal
Pu 0.000 0.000 0.000
Pb 0.000 0.500 0.000
Pb 0.500 0.000 0.000
Pb 0.500 0.500 0.500
O 0.138 0.138 0.210
O 0.145 0.724 0.212
O 0.276 0.855 0.788
O 0.724 0.145 0.212
O 0.855 0.276 0.788
O 0.862 0.862 0.790
F 0.328 0.328 0.715
F 0.672 0.672 0.285

---

[6]
! PBE-GGA RbPbOF2, optimized geometry; values from VASP
! **DOS at the Fermi energy**: 0.14 states/eV/f.u.
! **Calculated volume**: 99.2 Å³/f.u.
! **Electronic total energy**: -23.3 eV per cell
&SYSTEM
  ibrav = 0, nat = 5, ntyp = 4
/
ATOMIC_SPECIES
Rb 85.47 Rb.upf
Pb 207.20 Pb.upf
O 16.00 O.upf
F 19.00 F.upf
CELL_PARAMETERS angstrom
4.806 0.000 0.000
0.000 4.806 0.000
0.000 0.000 4.293
ATOMIC_POSITIONS crystal
Rb 0.000 0.000 0.000
Pb 0.500 0.500 0.500
O 0.500 0.500 0.000
F 0.000 0.500 0.500
F 0.500 0.000 0.500